Record 1
Entry from Alexandria: an optimized crystal structure of PmPrZr (PBE).

Calculated values
crystal system: tetragonal
formation enthalpy at 0 K: 0.34 eV per formula unit
SG: P4/nmm, No. 129
polymorph energy (0 for the lowest one): 0.0 meV/atom

abc: 3.844 3.844 12.792
angles: 90.00 90.00 90.00
Element x y z (fractional)
Pm: 0.250 0.250 0.094
Pm: 0.750 0.750 0.906
Pr: 0.250 0.250 0.710
Pr: 0.750 0.750 0.290
Zr: 0.250 0.250 0.451
Zr: 0.750 0.750 0.549

***

Record 2
Entry from Alexandria: an optimized crystal structure of Ca2SeCl (PBE).

Calculated values
crystal system: trigonal
formation energy without anion corrections: -1.759 eV/atom
SG: R-3m, No. 166
polymorph energy (0 for the lowest one): 0.5 meV/atom

abc: 4.210 4.210 19.948
angles: 90.00 90.00 120.00
Element x y z (fractional)
Ca: 0.000 0.000 0.247
Ca: 0.000 0.000 0.753
Ca: 0.333 0.667 0.420
Ca: 0.333 0.667 0.913
Ca: 0.667 0.333 0.087
Ca: 0.667 0.333 0.580
Se: 0.000 0.000 0.500
Se: 0.333 0.667 0.167
Se: 0.667 0.333 0.833
Cl: 0.000 0.000 0.000
Cl: 0.333 0.667 0.667
Cl: 0.667 0.333 0.333

***

Record 3
Entry from Alexandria: an optimized crystal structure of Pm2Ho2ErTm (PBE).

Calculated values
crystal system: orthorhombic
formation enthalpy at 0 K: 0.41 eV per formula unit
SG: Pmma, No. 51

abc: 6.965 5.612 9.723
angles: 90.00 90.00 90.00
Element x y z (fractional)
Pm: 0.000 0.000 0.000
Pm: 0.250 0.500 0.178
Pm: 0.500 0.000 0.000
Pm: 0.750 0.500 0.822
Ho: 0.250 0.000 0.332
Ho: 0.250 0.500 0.837
Ho: 0.750 0.000 0.668
Ho: 0.750 0.500 0.163
Er: 0.250 0.000 0.659
Er: 0.750 0.000 0.341
Tm: 0.000 0.500 0.500
Tm: 0.500 0.500 0.500

***

Record 4
Entry from Alexandria: an optimized crystal structure of TbNd5Pb6 (PBE).

Calculated values
crystal system: monoclinic
formation enthalpy at 0 K: -6.02 eV per formula unit
SG: P2/m, No. 10
polymorph energy (0 for the lowest one): 0.0 meV/atom

abc: 5.848 7.231 8.504
angles: 90.00 95.00 90.00
Element x y z (fractional)
Tb: 0.000 0.000 0.000
Nd: 0.000 0.500 0.000
Nd: 0.328 0.000 0.666
Nd: 0.331 0.500 0.665
Nd: 0.669 0.500 0.335
Nd: 0.672 0.000 0.334
Pb: 0.169 0.248 0.329
Pb: 0.169 0.752 0.329
Pb: 0.500 0.246 0.000
Pb: 0.500 0.754 0.000
Pb: 0.831 0.248 0.671
Pb: 0.831 0.752 0.671

***

Record 5
Entry from Alexandria: an optimized crystal structure of SrPO (PBE).

Calculated values
crystal system: monoclinic
formation energy without anion corrections: -1.462 eV/atom
SG: C2/m, No. 12

abc: 6.844 5.811 6.384
angles: 90.00 93.64 90.00
Element x y z (fractional)
Sr: 0.191 0.000 0.285
Sr: 0.309 0.500 0.715
Sr: 0.691 0.500 0.285
Sr: 0.809 0.000 0.715
P: 0.128 0.500 0.153
P: 0.372 0.000 0.847
P: 0.628 0.000 0.153
P: 0.872 0.500 0.847
O: 0.179 0.000 0.673
O: 0.321 0.500 0.327
O: 0.679 0.500 0.673
O: 0.821 0.000 0.327

***

Record 6
Entry from Alexandria: an optimized crystal structure of Pm5Os2C5 (PBE).

Calculated values
crystal system: monoclinic
formation enthalpy at 0 K: -0.30 eV per formula unit
SG: C2/m, No. 12

abc: 6.352 6.352 9.592
angles: 94.53 94.53 32.83
Element x y z (fractional)
Pm: 0.000 0.000 0.000
Pm: 0.132 0.132 0.491
Pm: 0.272 0.272 0.839
Pm: 0.728 0.728 0.161
Pm: 0.868 0.868 0.509
Os: 0.479 0.479 0.273
Os: 0.521 0.521 0.727
C: 0.063 0.063 0.251
C: 0.374 0.374 0.103
C: 0.500 0.500 0.500
C: 0.626 0.626 0.897
C: 0.937 0.937 0.749

***

Record 7
Entry from Alexandria: an optimized crystal structure of ThGe3Ir (PBE).

Calculated values
crystal system: orthorhombic
formation enthalpy at 0 K: -3.07 eV per formula unit
SG: Pmn2_1, No. 31

abc: 6.183 5.695 5.872
angles: 90.00 90.00 90.00
Element x y z (fractional)
Th: 0.000 0.139 0.000
Th: 0.500 0.861 0.500
Ge: 0.000 0.912 0.544
Ge: 0.233 0.318 0.451
Ge: 0.267 0.682 0.951
Ge: 0.500 0.088 0.044
Ge: 0.733 0.682 0.951
Ge: 0.767 0.318 0.451
Ir: 0.000 0.611 0.250
Ir: 0.500 0.389 0.750

***

Record 8
Entry from Alexandria: an optimized crystal structure of ScAlO2 (PBE).

Calculated values
crystal system: trigonal
formation energy without anion corrections: -2.640 eV/atom
SG: R-3m, No. 166

abc: 3.124 3.124 17.868
angles: 90.00 90.00 120.00
Element x y z (fractional)
Sc: 0.000 0.000 0.000
Sc: 0.333 0.667 0.667
Sc: 0.667 0.333 0.333
Al: 0.000 0.000 0.500
Al: 0.333 0.667 0.167
Al: 0.667 0.333 0.833
O: 0.000 0.000 0.394
O: 0.000 0.000 0.606
O: 0.333 0.667 0.061
O: 0.333 0.667 0.273
O: 0.667 0.333 0.727
O: 0.667 0.333 0.939

***

Record 9
Entry from Alexandria: an optimized crystal structure of Sr2Ge4Au5 (PBE).

Calculated values
crystal system: orthorhombic
formation enthalpy at 0 K: -3.55 eV per formula unit
SG: Fmmm, No. 69

abc: 9.399 8.374 6.116
angles: 79.21 61.06 39.73
Element x y z (fractional)
Sr: 0.139 0.139 0.861
Sr: 0.861 0.861 0.139
Ge: 0.216 0.526 0.474
Ge: 0.474 0.784 0.216
Ge: 0.526 0.216 0.784
Ge: 0.784 0.474 0.526
Au: 0.000 0.000 0.500
Au: 0.250 0.250 0.250
Au: 0.500 0.500 0.000
Au: 0.500 0.500 0.500
Au: 0.750 0.750 0.750

***

Record 10
Entry from Alexandria: an optimized crystal structure of GeTeSeBr2 (PBE).

Calculated values
crystal system: tetragonal
formation energy without anion corrections: 0.410 eV/atom
SG: P4/mmm, No. 123
polymorph energy (0 for the lowest one): 207.9 meV/atom

abc: 5.516 5.516 5.561
angles: 90.00 90.00 90.00
Element x y z (fractional)
Ge: 0.000 0.000 0.000
Te: 0.500 0.500 0.500
Se: 0.500 0.500 0.000
Br: 0.000 0.500 0.500
Br: 0.500 0.000 0.500

***

Record 11
Entry from Alexandria: an optimized crystal structure of KBaNa2Sn (PBE).

Calculated values
crystal system: tetragonal
formation enthalpy at 0 K: -0.27 eV per formula unit
SG: P4/mmm, No. 123

abc: 6.256 6.256 6.669
angles: 90.00 90.00 90.00
Element x y z (fractional)
K: 0.000 0.000 0.000
Ba: 0.500 0.500 0.000
Na: 0.000 0.500 0.500
Na: 0.500 0.000 0.500
Sn: 0.500 0.500 0.500

***

Record 12
Entry from Alexandria: an optimized crystal structure of RbPaFeSe4 (PBE).

Calculated values
crystal system: monoclinic
formation energy without anion corrections: -1.007 eV/atom
SG: P2_1/m, No. 11

abc: 6.638 6.490 9.690
angles: 90.00 109.35 90.00
Element x y z (fractional)
Rb: 0.242 0.250 0.048
Rb: 0.758 0.750 0.952
Pa: 0.253 0.250 0.555
Pa: 0.747 0.750 0.445
Fe: 0.240 0.750 0.342
Fe: 0.760 0.250 0.658
Se: 0.022 0.513 0.695
Se: 0.022 0.987 0.695
Se: 0.426 0.750 0.172
Se: 0.448 0.750 0.593
Se: 0.552 0.250 0.407
Se: 0.574 0.250 0.828
Se: 0.978 0.013 0.305
Se: 0.978 0.487 0.305

***

| no. | N(E_F) (states/eV/cell) | E (Ha/atom) |
| --- | --- | --- |
| 1 | 9.63 | -0.21734 |
| 2 | 6.62 | -0.15040 |
| 3 | 18.63 | -0.16710 |
| 4 | 10.62 | -0.17377 |
| 5 | 5.86 | -0.20133 |
| 6 | 6.27 | -0.28368 |
| 7 | 2.06 | -0.24401 |
| 8 | 0.00 | -0.28068 |
| 9 | 3.91 | -0.13956 |
| 10 | 3.53 | -0.09215 |
| 11 | 4.32 | -0.07300 |
| 12 | 8.07 | -0.20954 |